Entry from Alexandria: SrCd2Ir after structural relaxation (PBE).

Cell and atoms, written as CIF:
```
data_SrCd2Ir
_cell_length_a 3.3783
_cell_length_b 3.3783
_cell_length_c 29.1062
_cell_angle_alpha 90.00
_cell_angle_beta 90.00
_cell_angle_gamma 120.00
_space_group_name_H-M_alt 'R -3 m'
_space_group_IT_number 166
_space_group_name_Hall '-R 3 2"'
loop_
_atom_site_label
_atom_site_type_symbol
_atom_site_fract_x
_atom_site_fract_y
_atom_site_fract_z
Sr1 Sr 0.0000 0.0000 0.0000
Cd1 Cd 0.0000 0.0000 0.2359
Ir1 Ir 0.0000 0.0000 0.5000
```

Mass density ... 8.739 g cm⁻³
DOS(E_F) ... 11.309 states/eV per cell

***

Entry from Alexandria: SrCdIr2 after structural relaxation (PBE).

Cell and atoms, written as CIF:
```
data_SrCdIr2
_cell_length_a 2.9519
_cell_length_b 4.2908
_cell_length_c 6.4619
_cell_angle_alpha 90.00
_cell_angle_beta 90.00
_cell_angle_gamma 90.00
_space_group_name_H-M_alt 'P m m m'
_space_group_IT_number 47
_space_group_name_Hall '-P 2 2'
loop_
_atom_site_label
_atom_site_type_symbol
_atom_site_fract_x
_atom_site_fract_y
_atom_site_fract_z
Sr1 Sr 0.0000 0.0000 0.0000
Cd1 Cd 0.0000 0.0000 0.5000
Ir1 Ir 0.5000 0.5000 0.3033
```

Mass density ... 11.858 g cm⁻³
DOS(E_F) ... 4.218 states/eV per cell

***

no.,VASP energy (eV/atom),spin magnetization (μB per formula unit)
1,-2.704,0.0
2,-4.808,0.0